The following is a PBE calculation of a relaxed structure of LaZnW2, from Alexandria.

Results
The calculation puts the spin magnetization at 0.000 μB/f.u. Its calculated volume is 75.6 Å³ per cell. The symmetry is C2/m (12). For the energy relative to the elements, the calculation gives 0.725 eV/atom.

a b c (Å): 5.7394 5.3327 2.8779
angles (deg): 84.66 78.03 116.18
Last column: nearest neighbours and their distance in Å.
Fractional positions:
La1 0.5000 0.0000 0.5000  2 La 2.88, 4 Zn 2.91-3.15, 4 W 2.93
Zn1 0.5000 0.5000 0.0000  2 Zn 2.88, 4 La 2.91-3.15, 4 W 2.93
W1 0.0000 0.0000 0.0000  6 W 2.88-3.15, 2 La 2.93, 2 Zn 2.93
W2 0.0000 0.5000 0.5000  6 W 2.88-3.15, 2 Zn 2.93, 2 La 2.93